Entry 1:
## YPuAg2S4 (PBE-GGA)

Data for a relaxed structure of YPuAg2S4. Values from VASP.

## Properties
The total energy comes out at -6.529 eV per atom. As for the space group: No. 119.

```
&SYSTEM
  ibrav = 0, nat = 8, ntyp = 4
/
ATOMIC_SPECIES
S 32.06 S.upf
Ag 107.87 Ag.upf
Y 88.91 Y.upf
Pu 244.00 Pu.upf
CELL_PARAMETERS angstrom
-4.6822 -1.0974 -2.5222
2.6477 -3.1290 -3.5619
0.1929 -2.7200 6.6751
ATOMIC_POSITIONS angstrom
S -2.3818 -0.7872 -1.0818
S -3.1247 -5.1434 2.1926
S -0.4457 -2.6131 1.9642
S -1.3959 -4.3333 -1.3733
Ag 0.0000 0.0000 0.0000
Ag 0.9117 -3.9811 0.0355
Y -2.7532 -2.9653 0.5554
Pu -1.0172 -2.1132 -3.0421
```

Entry 2:
## PuAgSb2 (PBE-GGA)

Data for a relaxed structure of PuAgSb2. Values from VASP.

## Properties
The total energy comes out at -6.713 eV per atom. As for the space group: No. 123.

```
&SYSTEM
  ibrav = 0, nat = 4, ntyp = 3
/
ATOMIC_SPECIES
Sb 121.76 Sb.upf
Pu 244.00 Pu.upf
Ag 107.87 Ag.upf
CELL_PARAMETERS angstrom
-0.8199 1.7821 -3.7567
-3.7359 -2.9136 -0.5668
-2.8211 3.2020 2.1346
ATOMIC_POSITIONS angstrom
Sb -1.8680 -1.4568 -0.2834
Sb -1.4105 1.6010 1.0673
Pu -3.6884 1.0352 -1.0944
Ag -0.4099 0.8910 -1.8783
```

Entry 3:
## PuAgSb (PBE-GGA)

Data for a relaxed structure of PuAgSb. Values from VASP.

## Properties
The total energy comes out at -7.455 eV per atom. As for the space group: No. 129.

```
&SYSTEM
  ibrav = 0, nat = 6, ntyp = 3
/
ATOMIC_SPECIES
Pu 244.00 Pu.upf
Ag 107.87 Ag.upf
Sb 121.76 Sb.upf
CELL_PARAMETERS angstrom
4.4428 0.0000 0.0000
0.0000 4.4428 0.0000
0.0000 0.0000 7.6404
ATOMIC_POSITIONS angstrom
Pu 2.2214 0.0000 1.2622
Pu 0.0000 2.2214 6.3782
Ag 2.2214 2.2214 3.8202
Ag 0.0000 0.0000 3.8202
Sb 0.0000 2.2214 1.9110
Sb 2.2214 0.0000 5.7293
```

Entry 4:
## PuAgSb2 (PBE-GGA)

Data for a relaxed structure of PuAgSb2. Values from VASP.

## Properties
The total energy comes out at -6.540 eV per atom. As for the space group: No. 166.

```
&SYSTEM
  ibrav = 0, nat = 4, ntyp = 3
/
ATOMIC_SPECIES
Pu 244.00 Pu.upf
Ag 107.87 Ag.upf
Sb 121.76 Sb.upf
CELL_PARAMETERS angstrom
-1.9356 -1.7134 4.1510
-3.0411 -3.8277 -0.1176
2.1074 -4.8552 1.8591
ATOMIC_POSITIONS angstrom
Pu -1.4347 -5.1981 2.9462
Ag 0.0000 0.0000 0.0000
Sb -0.8619 -2.4836 1.4534
Sb -2.0075 -7.9126 4.4391
```

Number 1: magnetization 0.625 μB/atom, E_form (uncorrected) -1.152 eV/atom. Number 2: magnetization 1.329 μB/atom, E_form (uncorrected) -0.356 eV/atom. Number 3: magnetization 1.994 μB/atom, E_form (uncorrected) -0.353 eV/atom. Number 4: magnetization 1.398 μB/atom, E_form (uncorrected) -0.183 eV/atom.